No. 1
VASP calculation (PBE) on CaTlCr after structural relaxation.

The space group is P-6m2 (No. 187) and the conventional cell measures 4.9974, 4.9974 and 3.5567 Å, with angles of 90.00, 90.00 and 120.00 degrees. The asymmetric unit holds Ca at (0.0000, 0.0000, 0.0000), Tl at (0.3333, 0.6667, 0.5000) and Cr at (0.6667, 0.3333, 0.5000).

For the density of states at the Fermi level, the calculation gives 2.51 states/eV/f.u. For the formation energy, the calculation gives 0.219 eV/atom.


No. 2
VASP calculation (PBE) on YOs2Br after structural relaxation.

The space group is P4/mmm (No. 123) and the conventional cell measures 3.138, 3.138 and 7.403 Å, with angles of 90.00, 90.00 and 90.00 degrees. The asymmetric unit holds Y at (0.000, 0.000, 0.000), Os at (0.500, 0.500, 0.282) and Br at (0.000, 0.000, 0.500).

For the offset from the most stable computed form, the calculation gives 3.92 eV per formula unit. For the density of states at the Fermi level, the calculation gives 4.23 states/eV/f.u. For the uncorrected formation energy, the calculation gives 3.67 eV per formula unit.